(1)
Entry from the Alexandria database: a relaxed BaSrHfS4 crystal (GGA-PBE).

CIF file:
```
data_BaSrHfS4
_chemical_formula_sum 'Ba1 Sr1 Hf1 S4'
_cell_length_a 4.9422
_cell_length_b 4.9422
_cell_length_c 8.4986
_cell_angle_alpha 106.90
_cell_angle_beta 106.90
_cell_angle_gamma 90.00
_space_group_name_H-M_alt 'P 1'
_space_group_IT_number 1
_space_group_name_Hall 'P 1'
loop_
_atom_site_label
_atom_site_type_symbol
_atom_site_fract_x
_atom_site_fract_y
_atom_site_fract_z
_atom_site_occupancy
Ba1 Ba 0.3577 0.3577 0.7153 1
Sr1 Sr 0.6412 0.6412 0.2825 1
Hf1 Hf 0.9997 0.9997 0.9995 1
S1 S 0.0027 0.5027 0.0055 1
S2 S 0.5027 0.0027 0.0055 1
S3 S 0.8329 0.8329 0.6657 1
S4 S 0.1631 0.1631 0.3261 1
```

Results
Formation energy without anion corrections: -1872 meV/atom
Electronic total energy: -6.167 eV per atom
SG: I4mm (107)

(2)
Entry from the Alexandria database: a relaxed Er2ZnNi3Ge4 crystal (GGA-PBE).

CIF file:
```
data_Er2ZnNi3Ge4
_chemical_formula_sum 'Er2 Zn1 Ni3 Ge4'
_cell_length_a 4.0259
_cell_length_b 4.0259
_cell_length_c 10.1308
_cell_angle_alpha 90.00
_cell_angle_beta 90.00
_cell_angle_gamma 90.00
_space_group_name_H-M_alt 'P 1'
_space_group_IT_number 1
_space_group_name_Hall 'P 1'
loop_
_atom_site_label
_atom_site_type_symbol
_atom_site_fract_x
_atom_site_fract_y
_atom_site_fract_z
_atom_site_occupancy
Er1 Er 0.5000 0.0000 0.2452 1
Er2 Er 0.0000 0.5000 0.7548 1
Zn1 Zn 0.5000 0.5000 0.5000 1
Ni1 Ni 0.0000 0.0000 0.5000 1
Ni2 Ni 0.5000 0.0000 0.8740 1
Ni3 Ni 0.0000 0.5000 0.1260 1
Ge1 Ge 0.5000 0.5000 0.0000 1
Ge2 Ge 0.0000 0.0000 0.0000 1
Ge3 Ge 0.5000 0.0000 0.6451 1
Ge4 Ge 0.0000 0.5000 0.3549 1
```

Results
Electronic total energy: -5.239 eV per atom
SG: P-4m2 (115)
DOS(E_F): 0.456 states/eV/atom
E_form: -0.62 eV per atom

(3)
Entry from the Alexandria database: a relaxed Cu4AuO5 crystal (GGA-PBE).

CIF file:
```
data_Cu4AuO5
_chemical_formula_sum 'Cu8 Au2 O10'
_cell_length_a 5.0337
_cell_length_b 5.7234
_cell_length_c 9.2493
_cell_angle_alpha 90.00
_cell_angle_beta 90.00
_cell_angle_gamma 90.00
_space_group_name_H-M_alt 'P 1'
_space_group_IT_number 1
_space_group_name_Hall 'P 1'
loop_
_atom_site_label
_atom_site_type_symbol
_atom_site_fract_x
_atom_site_fract_y
_atom_site_fract_z
_atom_site_occupancy
Cu1 Cu 0.0126 0.0000 0.7369 1
Cu2 Cu 0.4044 0.7181 0.0000 1
Cu3 Cu 0.4044 0.2819 0.0000 1
Cu4 Cu 0.0126 0.0000 0.2631 1
Cu5 Cu 0.9874 0.5000 0.2369 1
Cu6 Cu 0.5956 0.7819 0.5000 1
Cu7 Cu 0.5956 0.2181 0.5000 1
Cu8 Cu 0.9874 0.5000 0.7631 1
Au1 Au 0.8017 0.0000 0.0000 1
Au2 Au 0.1983 0.5000 0.5000 1
O1 O 0.1776 0.7572 0.8405 1
O2 O 0.1776 0.2428 0.8405 1
O3 O 0.6748 0.5000 0.0000 1
O4 O 0.1776 0.7572 0.1595 1
O5 O 0.1776 0.2428 0.1595 1
O6 O 0.8224 0.7428 0.3405 1
O7 O 0.8224 0.2572 0.3405 1
O8 O 0.3252 0.0000 0.5000 1
O9 O 0.8224 0.2572 0.6595 1
O10 O 0.8224 0.7428 0.6595 1
```

Results
Formation energy without anion corrections: -220 meV/atom
Electronic total energy: -4.665 eV per atom
SG: Pmmn (59)
DOS(E_F): 0.535 states/eV/atom

(4)
Entry from the Alexandria database: a relaxed Rb2DyMg3F12 crystal (GGA-PBE).

CIF file:
```
data_Rb2DyMg3F12
_chemical_formula_sum 'Rb2 Dy1 Mg3 F12'
_cell_length_a 7.5657
_cell_length_b 7.5657
_cell_length_c 7.5657
_cell_angle_alpha 59.60
_cell_angle_beta 59.60
_cell_angle_gamma 59.60
_space_group_name_H-M_alt 'P 1'
_space_group_IT_number 1
_space_group_name_Hall 'P 1'
loop_
_atom_site_label
_atom_site_type_symbol
_atom_site_fract_x
_atom_site_fract_y
_atom_site_fract_z
_atom_site_occupancy
Rb1 Rb 0.6195 0.6195 0.6195 1
Rb2 Rb 0.3805 0.3805 0.3805 1
Dy1 Dy 0.0000 0.0000 0.0000 1
Mg1 Mg 0.5000 0.0000 0.0000 1
Mg2 Mg 0.0000 0.5000 0.0000 1
Mg3 Mg 0.0000 0.0000 0.5000 1
F1 F 0.3073 0.3073 0.9246 1
F2 F 0.9148 0.9148 0.3493 1
F3 F 0.3493 0.9148 0.9148 1
F4 F 0.9246 0.3073 0.3073 1
F5 F 0.9148 0.3493 0.9148 1
F6 F 0.3073 0.9246 0.3073 1
F7 F 0.6927 0.6927 0.0754 1
F8 F 0.0852 0.0852 0.6507 1
F9 F 0.6507 0.0852 0.0852 1
F10 F 0.0754 0.6927 0.6927 1
F11 F 0.0852 0.6507 0.0852 1
F12 F 0.6927 0.0754 0.6927 1
```

Results
Formation energy without anion corrections: -3289 meV/atom
Electronic total energy: -5.165 eV per atom
SG: R-3m (166)
DOS(E_F): 0.874 states/eV/atom

The following theoretical density values (in kg/m³) correspond, in order, to the records above: 4666; 8764; 6620; 3472.